Entry from Alexandria via LeMat-Bulk: a relaxed structure of Cs2HgIrCl6 (PBE).

Unit cell a=7.6648 b=10.9269 c=7.6704 alpha=90.00 beta=90.00 gamma=90.00
Positions (direct):
Cs 0.2500 0.0000 0.2500
Cs 0.2500 0.5000 0.2500
Cs 0.7500 0.0000 0.7500
Cs 0.7500 0.5000 0.7500
Hg 0.2500 0.2500 0.7464
Hg 0.7500 0.7500 0.2536
Ir 0.2500 0.7500 0.7527
Ir 0.7500 0.2500 0.2473
Cl 0.0309 0.7500 0.9706
Cl 0.0320 0.7500 0.5337
Cl 0.2500 0.5335 0.7539
Cl 0.2500 0.9665 0.7539
Cl 0.4680 0.7500 0.5337
Cl 0.4691 0.7500 0.9706
Cl 0.5309 0.2500 0.0294
Cl 0.5320 0.2500 0.4663
Cl 0.7500 0.0335 0.2461
Cl 0.7500 0.4665 0.2461
Cl 0.9680 0.2500 0.4663
Cl 0.9691 0.2500 0.0294

## Properties
DFT total energy: -0.1196 Ha/atom
formation energy from raw total energies: -1.061 eV/atom
crystal system: orthorhombic